P | # PBE AcTl3Cd, relaxed
data_AcTl3Cd
_space_group_name_H-M_alt 'P 1'
_space_group_IT_number 1
_cell_length_a 5.020
_cell_length_b 7.025
_cell_length_c 9.193
_cell_angle_alpha 77.41
_cell_angle_beta 105.80
_cell_angle_gamma 89.99
loop_
_space_group_symop_operation_xyz
'x,y,z'
loop_
_atom_site_label
_atom_site_type_symbol
_atom_site_fract_x
_atom_site_fract_y
_atom_site_fract_z
Tl1 Tl 0.296 0.675 0.875
Tl2 Tl 0.917 0.347 0.117
Tl3 Tl 0.729 0.415 0.740
Tl4 Tl 0.513 0.544 0.307
Tl5 Tl 0.108 0.742 0.497
Tl6 Tl 0.513 0.044 0.307
Ac1 Ac 0.905 0.855 0.091
Ac2 Ac 0.121 0.234 0.523
Cd1 Cd 0.704 0.908 0.688
Cd2 Cd 0.322 0.181 0.926
# space group = P-1, No. 2
# total magnetization = 0.0 μB per formula unit
# DOS at the Fermi energy = 4.419 states/eV per cell
# V = 303.8 Å³ per cell


Q | # PBE AcTl3Cd, relaxed
data_AcTl3Cd
_space_group_name_H-M_alt 'P 1'
_space_group_IT_number 1
_cell_length_a 4.938
_cell_length_b 10.882
_cell_length_c 11.425
_cell_angle_alpha 90.00
_cell_angle_beta 90.00
_cell_angle_gamma 90.00
loop_
_space_group_symop_operation_xyz
'x,y,z'
loop_
_atom_site_label
_atom_site_type_symbol
_atom_site_fract_x
_atom_site_fract_y
_atom_site_fract_z
Tl1 Tl 0.250 0.890 0.188
Tl2 Tl 0.750 0.611 0.303
Tl3 Tl 0.750 0.111 0.197
Tl4 Tl 0.750 0.414 0.888
Tl5 Tl 0.250 0.889 0.803
Tl6 Tl 0.750 0.610 0.688
Tl7 Tl 0.250 0.586 0.112
Tl8 Tl 0.750 0.914 0.612
Tl9 Tl 0.250 0.390 0.312
Tl10 Tl 0.250 0.389 0.697
Tl11 Tl 0.250 0.086 0.388
Tl12 Tl 0.750 0.110 0.812
Ac1 Ac 0.250 0.699 0.499
Ac2 Ac 0.250 0.199 0.001
Ac3 Ac 0.750 0.801 0.999
Ac4 Ac 0.750 0.301 0.501
Cd1 Cd 0.750 0.887 0.351
Cd2 Cd 0.750 0.387 0.149
Cd3 Cd 0.250 0.113 0.649
Cd4 Cd 0.250 0.613 0.851
# space group = Pnma, No. 62
# total magnetization = 0.0 μB per formula unit
# DOS at the Fermi energy = 8.231 states/eV per cell
# V = 614.0 Å³ per cell


Relative energies, in meV/atom, with the most stable structure set to zero: P 0; Q 55.


P | # PBE Ac3TlCd, relaxed
data_Ac3TlCd
_space_group_name_H-M_alt 'P 1'
_space_group_IT_number 1
_cell_length_a 5.809
_cell_length_b 5.805
_cell_length_c 11.274
_cell_angle_alpha 90.00
_cell_angle_beta 75.07
_cell_angle_gamma 90.00
loop_
_space_group_symop_operation_xyz
'x,y,z'
loop_
_atom_site_label
_atom_site_type_symbol
_atom_site_fract_x
_atom_site_fract_y
_atom_site_fract_z
Ac1 Ac 0.575 0.250 0.498
Ac2 Ac 0.886 0.750 0.877
Ac3 Ac 0.388 0.250 0.872
Ac4 Ac 0.260 0.750 0.128
Ac5 Ac 0.763 0.250 0.123
Ac6 Ac 0.073 0.750 0.502
Tl1 Tl 0.979 0.250 0.691
Tl2 Tl 0.670 0.750 0.309
Cd1 Cd 0.171 0.250 0.307
Cd2 Cd 0.477 0.750 0.693
# space group = Cmcm, No. 63
# total magnetization = 0.0 μB per formula unit
# DOS at the Fermi energy = 13.669 states/eV per cell
# V = 367.3 Å³ per cell


Q | # PBE Ac3TlCd, relaxed
data_Ac3TlCd
_space_group_name_H-M_alt 'P 1'
_space_group_IT_number 1
_cell_length_a 7.401
_cell_length_b 10.848
_cell_length_c 10.848
_cell_angle_alpha 58.99
_cell_angle_beta 91.88
_cell_angle_gamma 91.88
loop_
_space_group_symop_operation_xyz
'x,y,z'
loop_
_atom_site_label
_atom_site_type_symbol
_atom_site_fract_x
_atom_site_fract_y
_atom_site_fract_z
Cd1 Cd 0.187 0.025 0.461
Cd2 Cd 0.687 0.461 0.025
Cd3 Cd 0.313 0.539 0.975
Cd4 Cd 0.813 0.975 0.539
Ac1 Ac 0.492 0.688 0.185
Ac2 Ac 0.987 0.596 0.716
Ac3 Ac 0.013 0.404 0.284
Ac4 Ac 0.008 0.815 0.312
Ac5 Ac 0.955 0.769 0.929
Ac6 Ac 0.508 0.312 0.815
Ac7 Ac 0.455 0.929 0.769
Ac8 Ac 0.545 0.071 0.231
Ac9 Ac 0.513 0.284 0.404
Ac10 Ac 0.992 0.185 0.688
Ac11 Ac 0.045 0.231 0.071
Ac12 Ac 0.487 0.716 0.596
Tl1 Tl 0.750 0.501 0.499
Tl2 Tl 0.250 0.499 0.501
Tl3 Tl 0.750 0.000 0.000
Tl4 Tl 0.250 0.000 0.000
# space group = C2/c, No. 15
# total magnetization = 0.0 μB per formula unit
# DOS at the Fermi energy = 20.255 states/eV per cell
# V = 745.9 Å³ per cell


Relative energies, in meV/atom, with the most stable structure set to zero: P 0; Q 49.


P | # PBE Ac3Tl4Cd4, relaxed
data_Ac3Tl4Cd4
_space_group_name_H-M_alt 'P 1'
_space_group_IT_number 1
_cell_length_a 4.247
_cell_length_b 5.082
_cell_length_c 15.910
_cell_angle_alpha 80.16
_cell_angle_beta 82.27
_cell_angle_gamma 90.04
loop_
_space_group_symop_operation_xyz
'x,y,z'
loop_
_atom_site_label
_atom_site_type_symbol
_atom_site_fract_x
_atom_site_fract_y
_atom_site_fract_z
Cd1 Cd 0.265 0.243 0.487
Cd2 Cd 0.450 0.900 0.188
Cd3 Cd 0.550 0.100 0.812
Cd4 Cd 0.736 0.757 0.513
Ac1 Ac 0.857 0.342 0.292
Ac2 Ac 0.143 0.658 0.708
Ac3 Ac 0.000 0.000 0.000
Tl1 Tl 0.698 0.205 0.624
Tl2 Tl 0.302 0.795 0.376
Tl3 Tl 0.381 0.447 0.099
Tl4 Tl 0.619 0.553 0.901
# space group = P-1, No. 2
# total magnetization = 0.0 μB per formula unit
# DOS at the Fermi energy = 5.504 states/eV per cell
# V = 335.2 Å³ per cell


Q | # PBE Ac3Tl4Cd4, relaxed
data_Ac3Tl4Cd4
_space_group_name_H-M_alt 'P 1'
_space_group_IT_number 1
_cell_length_a 5.032
_cell_length_b 7.886
_cell_length_c 9.533
_cell_angle_alpha 114.43
_cell_angle_beta 105.30
_cell_angle_gamma 90.00
loop_
_space_group_symop_operation_xyz
'x,y,z'
loop_
_atom_site_label
_atom_site_type_symbol
_atom_site_fract_x
_atom_site_fract_y
_atom_site_fract_z
Cd1 Cd 0.666 0.855 0.333
Cd2 Cd 0.334 0.145 0.667
Cd3 Cd 0.666 0.478 0.333
Cd4 Cd 0.334 0.522 0.667
Tl1 Tl 0.220 0.720 0.441
Tl2 Tl 0.780 0.280 0.559
Tl3 Tl 0.500 0.193 0.000
Tl4 Tl 0.500 0.807 0.000
Ac1 Ac 0.126 0.126 0.252
Ac2 Ac 0.000 0.500 0.000
Ac3 Ac 0.874 0.874 0.748
# space group = Immm, No. 71
# total magnetization = 0.0 μB per formula unit
# DOS at the Fermi energy = 6.008 states/eV per cell
# V = 329.6 Å³ per cell


Relative energies, in meV/atom, with the most stable structure set to zero: P 36; Q 0.


P | # PBE Ac2Tl3Cd2, relaxed
data_Ac2Tl3Cd2
_space_group_name_H-M_alt 'P 1'
_space_group_IT_number 1
_cell_length_a 4.953
_cell_length_b 6.522
_cell_length_c 7.419
_cell_angle_alpha 98.05
_cell_angle_beta 90.00
_cell_angle_gamma 112.31
loop_
_space_group_symop_operation_xyz
'x,y,z'
loop_
_atom_site_label
_atom_site_type_symbol
_atom_site_fract_x
_atom_site_fract_y
_atom_site_fract_z
Tl1 Tl 0.000 0.000 0.000
Tl2 Tl 0.700 0.400 0.854
Tl3 Tl 0.300 0.600 0.146
Cd1 Cd 0.904 0.808 0.355
Cd2 Cd 0.096 0.192 0.645
Ac1 Ac 0.382 0.764 0.684
Ac2 Ac 0.618 0.236 0.316
# space group = C2/m, No. 12
# total magnetization = 0.0 μB per formula unit
# DOS at the Fermi energy = 5.563 states/eV per cell
# V = 219.2 Å³ per cell


Q | # PBE Ac2Tl3Cd2, relaxed
data_Ac2Tl3Cd2
_space_group_name_H-M_alt 'P 1'
_space_group_IT_number 1
_cell_length_a 4.985
_cell_length_b 7.995
_cell_length_c 11.165
_cell_angle_alpha 90.00
_cell_angle_beta 102.90
_cell_angle_gamma 90.00
loop_
_space_group_symop_operation_xyz
'x,y,z'
loop_
_atom_site_label
_atom_site_type_symbol
_atom_site_fract_x
_atom_site_fract_y
_atom_site_fract_z
Tl1 Tl 0.437 0.936 0.874
Tl2 Tl 0.777 0.250 0.555
Tl3 Tl 0.223 0.750 0.445
Tl4 Tl 0.437 0.564 0.874
Tl5 Tl 0.563 0.436 0.126
Tl6 Tl 0.563 0.064 0.126
Cd1 Cd 0.311 0.059 0.623
Cd2 Cd 0.689 0.559 0.377
Cd3 Cd 0.689 0.941 0.377
Cd4 Cd 0.311 0.441 0.623
Ac1 Ac 0.952 0.250 0.904
Ac2 Ac 0.157 0.250 0.315
Ac3 Ac 0.048 0.750 0.096
Ac4 Ac 0.843 0.750 0.685
# space group = Cmcm, No. 63
# total magnetization = 0.0 μB per formula unit
# DOS at the Fermi energy = 5.979 states/eV per cell
# V = 433.8 Å³ per cell


Relative energies, in meV/atom, with the most stable structure set to zero: P 27; Q 0.


P | # PBE Ac2TlCd4, relaxed
data_Ac2TlCd4
_space_group_name_H-M_alt 'P 1'
_space_group_IT_number 1
_cell_length_a 11.378
_cell_length_b 6.433
_cell_length_c 6.699
_cell_angle_alpha 118.70
_cell_angle_beta 90.00
_cell_angle_gamma 90.00
loop_
_space_group_symop_operation_xyz
'x,y,z'
loop_
_atom_site_label
_atom_site_type_symbol
_atom_site_fract_x
_atom_site_fract_y
_atom_site_fract_z
Tl1 Tl 0.000 0.000 0.000
Tl2 Tl 0.500 0.500 0.000
Cd1 Cd 0.250 0.999 0.500
Cd2 Cd 0.250 0.752 0.000
Cd3 Cd 0.750 0.501 0.500
Cd4 Cd 0.250 0.499 0.500
Cd5 Cd 0.250 0.252 0.000
Cd6 Cd 0.750 0.001 0.500
Cd7 Cd 0.750 0.248 0.000
Cd8 Cd 0.750 0.748 0.000
Ac1 Ac 0.500 0.157 0.313
Ac2 Ac 0.000 0.343 0.687
Ac3 Ac 0.000 0.657 0.313
Ac4 Ac 0.500 0.843 0.687
# space group = Cmce, No. 64
# total magnetization = 0.0 μB per formula unit
# DOS at the Fermi energy = 11.965 states/eV per cell
# V = 430.1 Å³ per cell


Q | # PBE Ac2TlCd4, relaxed
data_Ac2TlCd4
_space_group_name_H-M_alt 'P 1'
_space_group_IT_number 1
_cell_length_a 5.348
_cell_length_b 5.348
_cell_length_c 9.560
_cell_angle_alpha 106.24
_cell_angle_beta 106.24
_cell_angle_gamma 90.00
loop_
_space_group_symop_operation_xyz
'x,y,z'
loop_
_atom_site_label
_atom_site_type_symbol
_atom_site_fract_x
_atom_site_fract_y
_atom_site_fract_z
Cd1 Cd 0.500 0.000 0.000
Cd2 Cd 0.000 0.500 0.000
Cd3 Cd 0.172 0.172 0.343
Cd4 Cd 0.828 0.828 0.657
Ac1 Ac 0.359 0.359 0.718
Ac2 Ac 0.641 0.641 0.282
Tl1 Tl 0.000 0.000 0.000
# space group = I4/mmm, No. 139
# total magnetization = 0.0 μB per formula unit
# DOS at the Fermi energy = 6.612 states/eV per cell
# V = 251.2 Å³ per cell


Relative energies, in meV/atom, with the most stable structure set to zero: P 0; Q 250.


P | # PBE Ac4TlCd3, relaxed
data_Ac4TlCd3
_space_group_name_H-M_alt 'P 1'
_space_group_IT_number 1
_cell_length_a 5.769
_cell_length_b 5.769
_cell_length_c 9.180
_cell_angle_alpha 108.36
_cell_angle_beta 108.31
_cell_angle_gamma 90.00
loop_
_space_group_symop_operation_xyz
'x,y,z'
loop_
_atom_site_label
_atom_site_type_symbol
_atom_site_fract_x
_atom_site_fract_y
_atom_site_fract_z
Ac1 Ac 0.374 0.374 0.748
Ac2 Ac 0.126 0.126 0.252
Ac3 Ac 0.626 0.626 0.252
Ac4 Ac 0.874 0.874 0.748
Cd1 Cd 0.751 0.251 0.501
Cd2 Cd 0.000 0.500 0.000
Cd3 Cd 0.249 0.749 0.499
Tl1 Tl 0.500 0.000 0.000
# space group = I4/mmm, No. 139
# total magnetization = 0.0 μB per formula unit
# DOS at the Fermi energy = 10.809 states/eV per cell
# V = 273.6 Å³ per cell


Q | # PBE Ac4TlCd3, relaxed
data_Ac4TlCd3
_space_group_name_H-M_alt 'P 1'
_space_group_IT_number 1
_cell_length_a 4.054
_cell_length_b 5.171
_cell_length_c 13.225
_cell_angle_alpha 90.00
_cell_angle_beta 90.00
_cell_angle_gamma 90.00
loop_
_space_group_symop_operation_xyz
'x,y,z'
loop_
_atom_site_label
_atom_site_type_symbol
_atom_site_fract_x
_atom_site_fract_y
_atom_site_fract_z
Ac1 Ac 0.500 0.500 0.349
Ac2 Ac 0.500 0.000 0.654
Ac3 Ac 0.000 0.500 0.843
Ac4 Ac 0.000 0.000 0.154
Cd1 Cd 0.500 0.000 0.928
Cd2 Cd 0.000 0.500 0.568
Cd3 Cd 0.000 0.000 0.432
Tl1 Tl 0.500 0.500 0.072
# space group = Pmm2, No. 25
# total magnetization = 0.0 μB per formula unit
# DOS at the Fermi energy = 7.302 states/eV per cell
# V = 277.2 Å³ per cell


Relative energies, in meV/atom, with the most stable structure set to zero: P 0; Q 31.